Below is a geometry-optimized SrDySi2Pt5 structure, with properties calculated at the PBE level.

Properties
Volume   21.3 Å³/atom
Formation energy without anion corrections   -0.9039 eV/atom

Lattice parameters (Å, degrees): 4.134 4.134 11.209 90.00 90.00 90.00
Fractional coordinates of all 9 atoms:
Sr (0.000, 0.000, 0.000)
Dy (0.000, 0.000, 0.500)
Si (0.500, 0.500, 0.209)
Si (0.500, 0.500, 0.791)
Pt (0.000, 0.500, 0.314)
Pt (0.000, 0.500, 0.686)
Pt (0.500, 0.000, 0.314)
Pt (0.500, 0.000, 0.686)
Pt (0.500, 0.500, 0.000)

***

Below is a geometry-optimized Sr2DySi3Pt12 structure, with properties calculated at the PBE level.

Properties
Volume   20.6 Å³/atom
Formation energy without anion corrections   -0.4584 eV/atom

Lattice parameters (Å, degrees): 7.761 7.761 7.761 65.64 65.64 65.64
Fractional coordinates of all 18 atoms:
Sr (0.099, 0.099, 0.099)
Sr (0.901, 0.901, 0.901)
Dy (0.500, 0.500, 0.500)
Si (0.000, 0.500, 0.500)
Si (0.500, 0.000, 0.500)
Si (0.500, 0.500, 0.000)
Pt (0.105, 0.640, 0.640)
Pt (0.155, 0.155, 0.594)
Pt (0.155, 0.594, 0.155)
Pt (0.360, 0.360, 0.895)
Pt (0.360, 0.895, 0.360)
Pt (0.406, 0.845, 0.845)
Pt (0.594, 0.155, 0.155)
Pt (0.640, 0.105, 0.640)
Pt (0.640, 0.640, 0.105)
Pt (0.845, 0.406, 0.845)
Pt (0.845, 0.845, 0.406)
Pt (0.895, 0.360, 0.360)

***

Below is a geometry-optimized TbDySi2Pt5 structure, with properties calculated at the PBE level.

Properties
Volume   17.5 Å³/atom
Formation energy without anion corrections   -1.1080 eV/atom

Lattice parameters (Å, degrees): 4.189 4.189 8.965 90.00 90.00 90.00
Fractional coordinates of all 9 atoms:
Tb (0.000, 0.000, 0.000)
Dy (0.000, 0.000, 0.500)
Si (0.500, 0.500, 0.369)
Si (0.500, 0.500, 0.631)
Pt (0.000, 0.500, 0.235)
Pt (0.000, 0.500, 0.765)
Pt (0.500, 0.000, 0.235)
Pt (0.500, 0.000, 0.765)
Pt (0.500, 0.500, 0.000)

***

Below is a geometry-optimized TbDySiPt structure, with properties calculated at the PBE level.

Properties
Volume   22.4 Å³/atom
Formation energy without anion corrections   -1.0352 eV/atom

Lattice parameters (Å, degrees): 4.168 5.739 5.739 40.84 90.00 90.00
Fractional coordinates of all 4 atoms:
Tb (0.000, 0.000, 0.000)
Dy (0.500, 0.282, 0.282)
Si (0.500, 0.566, 0.566)
Pt (0.000, 0.720, 0.720)

***

Below is a geometry-optimized Tb2DySi3Pt4 structure, with properties calculated at the PBE level.

Properties
Volume   19.3 Å³/atom
Formation energy without anion corrections   -1.0548 eV/atom

Lattice parameters (Å, degrees): 4.197 4.197 10.958 90.00 90.00 90.00
Fractional coordinates of all 10 atoms:
Tb (0.000, 0.500, 0.223)
Tb (0.500, 0.000, 0.777)
Dy (0.000, 0.000, 0.500)
Si (0.000, 0.500, 0.879)
Si (0.500, 0.000, 0.121)
Si (0.500, 0.500, 0.500)
Pt (0.000, 0.000, 0.000)
Pt (0.000, 0.500, 0.663)
Pt (0.500, 0.000, 0.337)
Pt (0.500, 0.500, 0.000)

***

Below is a geometry-optimized Tb2DySi2Pt7 structure, with properties calculated at the PBE level.

Properties
Volume   18.6 Å³/atom
Formation energy without anion corrections   -1.1289 eV/atom

Lattice parameters (Å, degrees): 4.044 4.044 13.798 96.14 96.14 89.50
Fractional coordinates of all 12 atoms:
Tb (0.116, 0.116, 0.356)
Tb (0.884, 0.884, 0.644)
Dy (0.000, 0.000, 0.000)
Si (0.406, 0.406, 0.743)
Si (0.594, 0.594, 0.257)
Pt (0.060, 0.559, 0.161)
Pt (0.368, 0.368, 0.572)
Pt (0.441, 0.940, 0.839)
Pt (0.500, 0.500, 0.000)
Pt (0.559, 0.060, 0.161)
Pt (0.632, 0.632, 0.428)
Pt (0.940, 0.441, 0.839)

***

Below is a geometry-optimized Dy2Si4TcPt3 structure, with properties calculated at the PBE level.

Properties
Volume   17.3 Å³/atom
Formation energy without anion corrections   -1.0297 eV/atom

Lattice parameters (Å, degrees): 4.182 4.182 9.872 90.00 90.00 90.00
Fractional coordinates of all 10 atoms:
Dy (0.000, 0.500, 0.246)
Dy (0.500, 0.000, 0.754)
Si (0.000, 0.000, 0.000)
Si (0.000, 0.500, 0.628)
Si (0.500, 0.000, 0.372)
Si (0.500, 0.500, 0.000)
Tc (0.000, 0.000, 0.500)
Pt (0.000, 0.500, 0.873)
Pt (0.500, 0.000, 0.127)
Pt (0.500, 0.500, 0.500)

***

Below is a geometry-optimized Dy8SiTe4Pt3 structure, with properties calculated at the PBE level.

Properties
Volume   27.2 Å³/atom
Formation energy without anion corrections   -1.2024 eV/atom

Lattice parameters (Å, degrees): 8.716 8.716 8.716 56.96 56.96 56.96
Fractional coordinates of all 16 atoms:
Dy (0.236, 0.740, 0.740)
Dy (0.237, 0.237, 0.237)
Dy (0.260, 0.260, 0.764)
Dy (0.260, 0.764, 0.260)
Dy (0.740, 0.236, 0.740)
Dy (0.740, 0.740, 0.236)
Dy (0.763, 0.763, 0.763)
Dy (0.764, 0.260, 0.260)
Si (0.500, 0.500, 0.500)
Te (0.000, 0.000, 0.000)
Te (0.000, 0.500, 0.500)
Te (0.500, 0.000, 0.500)
Te (0.500, 0.500, 0.000)
Pt (0.000, 0.000, 0.500)
Pt (0.000, 0.500, 0.000)
Pt (0.500, 0.000, 0.000)

***

Below is a geometry-optimized DyThSi2Pt4 structure, with properties calculated at the PBE level.

Properties
Volume   19.6 Å³/atom
Formation energy without anion corrections   -0.9879 eV/atom

Lattice parameters (Å, degrees): 4.086 4.086 9.405 90.00 90.00 90.00
Fractional coordinates of all 8 atoms:
Dy (0.000, 0.000, 0.000)
Th (0.000, 0.000, 0.500)
Si (0.500, 0.500, 0.124)
Si (0.500, 0.500, 0.876)
Pt (0.000, 0.500, 0.265)
Pt (0.000, 0.500, 0.735)
Pt (0.500, 0.000, 0.265)
Pt (0.500, 0.000, 0.735)

***

Below is a geometry-optimized Dy2TiSi4Pt3 structure, with properties calculated at the PBE level.

Properties
Volume   17.6 Å³/atom
Formation energy without anion corrections   -1.0323 eV/atom

Lattice parameters (Å, degrees): 4.114 4.114 10.416 90.00 90.00 90.00
Fractional coordinates of all 10 atoms:
Dy (0.000, 0.500, 0.245)
Dy (0.500, 0.000, 0.755)
Ti (0.000, 0.000, 0.500)
Si (0.000, 0.000, 0.000)
Si (0.000, 0.500, 0.644)
Si (0.500, 0.000, 0.356)
Si (0.500, 0.500, 0.000)
Pt (0.000, 0.500, 0.877)
Pt (0.500, 0.000, 0.123)
Pt (0.500, 0.500, 0.500)

***

Below is a geometry-optimized DyTl2Si2Pt7 structure, with properties calculated at the PBE level.

Properties
Volume   19.1 Å³/atom
Formation energy without anion corrections   -0.6159 eV/atom

Lattice parameters (Å, degrees): 4.044 4.044 14.138 94.73 94.73 90.11
Fractional coordinates of all 12 atoms:
Dy (0.000, 0.000, 0.000)
Tl (0.102, 0.102, 0.394)
Tl (0.898, 0.898, 0.606)
Si (0.429, 0.429, 0.752)
Si (0.571, 0.571, 0.248)
Pt (0.044, 0.544, 0.155)
Pt (0.393, 0.393, 0.587)
Pt (0.456, 0.956, 0.845)
Pt (0.500, 0.500, 0.000)
Pt (0.544, 0.044, 0.155)
Pt (0.607, 0.607, 0.413)
Pt (0.956, 0.456, 0.845)

***

Below is a geometry-optimized DyTm2Si2Pt7 structure, with properties calculated at the PBE level.

Properties
Volume   18.3 Å³/atom
Formation energy without anion corrections   -1.1213 eV/atom

Lattice parameters (Å, degrees): 4.016 4.016 13.762 96.52 96.52 89.49
Fractional coordinates of all 12 atoms:
Dy (0.000, 0.000, 0.000)
Tm (0.124, 0.124, 0.357)
Tm (0.876, 0.876, 0.643)
Si (0.399, 0.399, 0.740)
Si (0.601, 0.601, 0.260)
Pt (0.064, 0.564, 0.163)
Pt (0.358, 0.358, 0.570)
Pt (0.436, 0.936, 0.837)
Pt (0.500, 0.500, 0.000)
Pt (0.564, 0.064, 0.163)
Pt (0.642, 0.642, 0.430)
Pt (0.936, 0.436, 0.837)

***

- What is the formula in the sixth record?
  Tb2DySi2Pt7